No. 1
A relaxed structure of Li2AsP2. Source: Alexandria, functional PBE.

Computed properties:
Relative energy among the computed polymorphs: 148 meV per atom
DOS at the Fermi energy: 3.39 states/eV per cell
Energy of formation from the pure elements: -63 meV/atom
E: -3.92 eV per atom

abc: 4.038 4.038 5.758
angles: 69.47 69.47 90.00
Positions (direct):
P: 0.395 0.395 0.210
P: 0.605 0.605 0.790
As: 0.000 0.000 0.000
Li: 0.750 0.250 0.500
Li: 0.250 0.750 0.500

---

No. 2
A relaxed structure of BeF. Source: Alexandria, functional PBE.

Computed properties:
Relative energy among the computed polymorphs: 146 meV per atom
DOS at the Fermi energy: 2.84 states/eV per cell
E: -4.66 eV per atom

abc: 8.162 8.162 2.517
angles: 90.00 90.00 90.00
Positions (direct):
Be: 0.663 0.877 0.500
Be: 0.337 0.123 0.500
Be: 0.123 0.663 0.500
Be: 0.877 0.337 0.500
Be: 0.110 0.398 0.000
Be: 0.890 0.602 0.000
Be: 0.602 0.110 0.000
Be: 0.398 0.890 0.000
F: 0.768 0.508 0.500
F: 0.232 0.492 0.500
F: 0.492 0.768 0.500
F: 0.508 0.232 0.500
F: 0.771 0.783 0.000
F: 0.229 0.217 0.000
F: 0.217 0.771 0.000
F: 0.783 0.229 0.000

---

No. 3
A relaxed structure of Li2MnZnRh. Source: Alexandria, functional PBE.

Computed properties:
DOS at the Fermi energy: 2.08 states/eV per cell
Energy of formation from the pure elements: 456 meV/atom
E: -3.87 eV per atom

abc: 4.309 4.704 4.309
angles: 90.00 90.00 90.00
Each line ends with the local moment (μB).
Positions (direct):
Zn: 0.000 0.000 0.000  -0.03
Mn: 0.500 0.500 0.500  4.24
Rh: 0.000 0.500 0.000  0.07
Li: 0.000 0.000 0.500  -0.03
Li: 0.500 0.000 0.000  -0.02

---

No. 4
A relaxed structure of NpGe3Au3. Source: Alexandria, functional PBE.

Computed properties:
DOS at the Fermi energy: 20.96 states/eV per cell
Energy of formation from the pure elements: 263 meV/atom
E: -4.97 eV per atom

abc: 7.055 7.055 7.055
angles: 90.00 90.00 90.00
Each line ends with the local moment (μB).
Positions (direct):
Np: 0.500 0.500 0.500  4.40
Np: 0.000 0.000 0.000  4.40
Ge: 0.250 0.000 0.500  -0.01
Ge: 0.000 0.500 0.250  -0.01
Ge: 0.500 0.750 0.000  -0.01
Ge: 0.750 0.000 0.500  -0.01
Ge: 0.000 0.500 0.750  -0.01
Ge: 0.500 0.250 0.000  -0.01
Au: 0.000 0.250 0.500  -0.01
Au: 0.000 0.750 0.500  -0.01
Au: 0.500 0.000 0.750  -0.01
Au: 0.750 0.500 0.000  -0.01
Au: 0.500 0.000 0.250  -0.01
Au: 0.250 0.500 0.000  -0.01

---

No. 5
A relaxed structure of Sm5TmAu6. Source: Alexandria, functional PBE.

Computed properties:
DOS at the Fermi energy: 7.80 states/eV per cell
Energy of formation from the pure elements: -810 meV/atom
E: -4.79 eV per atom

abc: 5.176 7.260 8.982
angles: 66.16 73.26 90.00
Positions (direct):
Tm: 0.000 0.000 0.000
Au: 0.838 0.597 0.323
Au: 0.838 0.080 0.323
Au: 0.500 0.765 0.000
Au: 0.500 0.235 0.000
Au: 0.162 0.920 0.677
Au: 0.162 0.403 0.677
Sm: 0.669 0.169 0.663
Sm: 0.335 0.334 0.331
Sm: 0.000 0.500 0.000
Sm: 0.665 0.666 0.669
Sm: 0.331 0.831 0.337

---

No. 6
A relaxed structure of Mn2CuIr. Source: Alexandria, functional PBE.

Computed properties:
DOS at the Fermi energy: 4.16 states/eV per cell
Energy of formation from the pure elements: 61 meV/atom
E: -7.76 eV per atom

abc: 4.551 4.551 4.551
angles: 131.66 131.65 70.77
Each line ends with the local moment (μB).
Positions (direct):
Cu: 0.500 0.500 0.000  0.13
Ir: 0.250 0.750 0.500  0.13
Mn: 0.000 0.000 0.000  2.12
Mn: 0.750 0.250 0.500  2.97

---

No. 7
A relaxed structure of K3HoTh3Se8. Source: Alexandria, functional PBE.

Computed properties:
DOS at the Fermi energy: 9.42 states/eV per cell
E: -5.50 eV per atom

abc: 8.444 8.442 9.293
angles: 117.01 90.01 120.00
Positions (direct):
K: 0.000 0.000 0.000
K: 0.000 0.500 0.000
K: 0.500 0.500 0.000
Ho: 0.000 0.000 0.500
Th: 0.500 0.000 0.500
Th: 0.500 0.500 0.500
Th: 0.000 0.500 0.500
Se: 0.260 0.521 0.282
Se: 0.740 0.479 0.718
Se: 0.768 0.535 0.294
Se: 0.232 0.465 0.706
Se: 0.768 0.026 0.294
Se: 0.232 0.974 0.706
Se: 0.259 0.026 0.294
Se: 0.741 0.974 0.706

---

No. 8
A relaxed structure of MoAs2HBr. Source: Alexandria, functional PBE.

Computed properties:
Relative energy among the computed polymorphs: 0 meV per atom
DOS at the Fermi energy: 2.73 states/eV per cell
E: -4.34 eV per atom

abc: 4.825 4.825 5.435
angles: 90.00 90.00 90.00
Each line ends with the local moment (μB).
Positions (direct):
H: 0.500 0.500 0.500  0.36
Mo: 0.000 0.000 0.000  0.08
As: 0.000 0.500 0.000  -0.08
As: 0.500 0.000 0.000  -0.08
Br: 0.000 0.000 0.500  0.03

---

What is the formula in the fifth record?
Sm5TmAu6

---

What is the E in the fifth record?
-4.79 eV per atom

---

Which value of E does entry 5 give?
-4.79 eV per atom